(1)
Density functional theory data (GGA-PBE) for a relaxed structure of CaIn2Br.

```
CaIn2Br
1.0
-0.377 -3.682 4.265
-0.486 -4.887 -2.787
3.991 3.927 -0.733
In Br Ca
2 1 1
Cartesian
1.537 -2.622 -1.391 In
0.000 0.000 0.000 In
-0.431 -4.284 0.739 Br
1.591 -2.020 2.135 Ca
```

Energy relative to the lowest polymorph listed for this composition ... 218.4 meV/atom
Space group ... I-4m2, No. 119

(2)
Density functional theory data (GGA-PBE) for a relaxed structure of Ca2InBr.

```
Ca2InBr
1.0
8.871 0.795 -0.331
6.746 5.815 0.331
-7.644 -3.695 2.713
Ca Br In
2 1 1
Cartesian
0.716 0.303 0.000 Ca
5.341 0.551 1.191 Ca
2.758 2.418 1.522 Br
6.967 2.949 0.000 In
```

Energy relative to the lowest polymorph listed for this composition ... 135.4 meV/atom
Space group ... Imm2, No. 44

(3)
Density functional theory data (GGA-PBE) for a relaxed structure of Ca3In5Br12.

```
Ca3In5Br12
1.0
4.370 0.000 0.000
0.000 11.511 -6.646
0.000 0.000 13.291
Br In Ca
12 5 3
Cartesian
0.000 0.000 7.086 Br
0.000 9.477 -5.472 Br
0.000 6.137 -3.543 Br
2.185 2.929 8.993 Br
0.000 2.034 1.174 Br
2.185 8.582 2.348 Br
0.000 0.000 10.943 Br
0.000 5.374 3.102 Br
2.185 6.324 6.258 Br
2.185 5.186 -0.387 Br
2.185 9.253 -1.961 Br
2.185 2.258 4.685 Br
0.000 0.000 3.882 In
0.000 3.837 6.646 In
0.000 7.674 0.000 In
0.000 8.148 4.704 In
0.000 3.362 -1.941 In
2.185 0.000 8.995 Ca
2.185 7.790 -4.498 Ca
2.185 3.720 2.148 Ca
```

Energy relative to the lowest polymorph listed for this composition ... 0.0 meV/atom
Space group ... P-62m, No. 189

(4)
Density functional theory data (GGA-PBE) for a relaxed structure of Ca4InBr.

```
Ca4InBr
1.0
0.000 4.828 4.828
4.828 0.000 4.828
4.828 4.828 0.000
Ca In Br
4 1 1
Cartesian
3.630 3.630 3.630 Ca
3.630 6.026 6.026 Ca
6.026 6.026 3.630 Ca
6.026 3.630 6.026 Ca
7.242 7.242 7.242 In
0.000 0.000 0.000 Br
```

Space group ... F-43m, No. 216

(5)
Density functional theory data (GGA-PBE) for a relaxed structure of CaIn2Br.

```
CaIn2Br
1.0
-1.707 -2.868 -2.810
5.878 -2.786 2.472
-1.122 -2.797 3.161
In Ca Br
2 1 1
Cartesian
0.000 0.000 0.000 In
-1.415 -2.833 0.176 In
2.086 -2.827 -0.169 Ca
2.378 -2.791 2.816 Br
```

Energy relative to the lowest polymorph listed for this composition ... 101.8 meV/atom
Space group ... Fmmm, No. 69

(6)
Density functional theory data (GGA-PBE) for a relaxed structure of CaIn4Br.

```
CaIn4Br
1.0
0.000 4.427 4.427
4.427 0.000 4.427
4.427 4.427 0.000
Br In Ca
1 4 1
Cartesian
6.641 6.641 6.641 Br
3.321 5.534 5.534 In
3.321 3.321 3.321 In
5.534 3.321 5.534 In
5.534 5.534 3.321 In
0.000 0.000 0.000 Ca
```

Space group ... F-43m, No. 216

(7)
Density functional theory data (GGA-PBE) for a relaxed structure of Ca3In2Br8.

```
Ca3In2Br8
1.0
-4.362 -5.753 1.925
6.282 -3.041 5.144
-4.474 7.534 2.612
Br Ca In
8 3 2
Cartesian
-1.287 4.347 4.143 Br
-4.209 -3.967 2.795 Br
-1.993 0.419 6.622 Br
2.827 -3.320 5.832 Br
1.656 2.707 6.886 Br
-5.380 2.059 3.849 Br
-0.560 -1.680 3.059 Br
-1.266 -5.608 5.538 Br
1.616 -0.783 1.323 Ca
-2.181 -2.877 0.963 Ca
4.666 -2.259 3.820 Ca
-0.332 -2.570 6.194 In
-2.221 1.310 3.487 In
```

Space group ... C2/m, No. 12

(8)
Density functional theory data (GGA-PBE) for a relaxed structure of Ca2InBr.

```
Ca2InBr
1.0
-3.319 0.272 5.603
-1.167 -2.856 5.741
3.891 2.774 2.180
Ca Br In
2 1 1
Cartesian
0.435 0.317 0.408 Ca
-0.950 -0.215 9.906 Ca
-0.624 -0.293 3.080 Br
0.248 0.477 6.892 In
```

Energy relative to the lowest polymorph listed for this composition ... 159.9 meV/atom
Space group ... Cm, No. 8

| no. | ρ (kg/m³) | E_tot (eV per atom) |
| --- | --- | --- |
| 1 | 5191 | -2.74 |
| 2 | 3571 | -2.91 |
| 3 | 4106 | -3.25 |
| 4 | 2619 | -2.07 |
| 5 | 4860 | -2.86 |
| 6 | 5542 | -2.67 |
| 7 | 3315 | -3.53 |
| 8 | 3668 | -2.89 |